Computed, not measured: crystalline CaSi2Hg at its relaxed geometry at the PBE level of DFT.

```
CaSi2Hg
1.0
-2.8130 -2.3960 -2.6991
3.4942 -0.9514 -2.7972
2.1740 -9.3457 2.1516
Ca Hg Si
2 2 4
direct
0.5000 0.5000 0.0000
0.2500 0.7500 0.5000
0.7500 0.2500 0.5000
0.0000 0.0000 0.0000
0.7435 0.1250 0.2500
0.3750 0.2565 0.7500
0.0065 0.6250 0.2500
0.8750 0.9935 0.7500
```

Its uncorrected formation energy is 0.105 eV per atom. Its uncorrected energy is -25.455 eV/cell. The calculation puts the magnetic moment at 0.000 μB per cell.